Entry 1:
Compound: TlFeBr2
Source: Alexandria via LeMat-Bulk
Functional: PBEsol
Structure: relaxed

The structure in POSCAR format:
```
TlFeBr2
1.0
3.5401 0.0000 0.0000
1.7701 3.0658 0.0000
1.7701 1.0219 8.9006
Br Fe Tl
2 1 1
direct
0.2247 0.2247 0.3260
0.7753 0.7753 0.6740
0.5000 0.5000 0.5000
0.0000 0.0000 0.0000
```

Summary:
* uncorrected energy: -4.0655 eV per atom
* SG: R-3m, No. 166
* formation energy from raw total energies: -0.93 eV per formula unit
* magnetization: 3.51 Bohr magnetons per cell



Entry 2:
Compound: Li3VFe3O8
Source: Alexandria via LeMat-Bulk
Functional: PBEsol
Structure: relaxed

The structure in POSCAR format:
```
Li3VFe3O8
1.0
5.8360 0.0000 0.0000
2.9180 5.0541 0.0000
2.9180 1.6847 4.8274
Li V Fe O
3 1 3 8
direct
0.0000 0.0000 0.5000
0.5000 0.0000 0.5000
0.0000 0.5000 0.5000
0.0000 0.0000 0.0000
0.5000 0.5000 0.0000
0.0000 0.5000 0.0000
0.5000 0.0000 0.0000
0.2567 0.2567 0.2299
0.7719 0.7719 0.2220
0.2342 0.7719 0.2220
0.7433 0.7433 0.7701
0.7719 0.2342 0.2220
0.2281 0.2281 0.7780
0.7658 0.2281 0.7780
0.2281 0.7658 0.7780
```

Summary:
* uncorrected energy: -7.3120 eV per atom
* SG: R-3m, No. 166
* formation energy from raw total energies: -25.26 eV per formula unit
* magnetization: 14.08 Bohr magnetons per cell



Entry 3:
Compound: BaCaIr2
Source: Alexandria via LeMat-Bulk
Functional: PBEsol
Structure: relaxed

The structure in POSCAR format:
```
BaCaIr2
1.0
-1.3936 2.5078 -3.2122
-1.5717 -1.7785 -3.5939
-8.3412 0.2633 0.9369
Ca Ir Ba
1 2 1
direct
0.2987 0.2987 0.1040
0.0372 0.0372 0.8885
0.7038 0.7038 0.8887
0.4604 0.4604 0.6188
```

Summary:
* uncorrected energy: -6.1635 eV per atom
* SG: R3m, No. 160
* offset from the most stable computed form: 0 kJ/mol of formula units
* formation energy: -0.181 eV/atom
* magnetization: 0.00 Bohr magnetons per cell



Entry 4:
Compound: CaTl3
Source: Alexandria via LeMat-Bulk
Functional: PBEsol
Structure: relaxed

The structure in POSCAR format:
```
CaTl3
1.0
-0.3145 -3.7027 1.5971
5.1820 -0.4162 0.0556
0.1134 2.0496 4.7739
Tl Ca
3 1
direct
0.5000 0.0000 0.4208
0.5000 0.5000 0.9125
0.0000 0.5000 0.4128
0.0000 0.0000 0.9206
```

Summary:
* uncorrected energy: -2.7738 eV per atom
* SG: Pmm2, No. 25
* formation energy: -0.268 eV/atom
* magnetization: 0.00 Bohr magnetons per cell



Entry 5:
Compound: NaZrP2Cl
Source: Alexandria via LeMat-Bulk
Functional: PBEsol
Structure: relaxed

The structure in POSCAR format:
```
NaZrP2Cl
1.0
-1.6382 -1.2779 -4.0226
-1.0359 -4.2723 1.7791
-4.2981 1.5641 1.2535
P Na Zr Cl
2 1 1 1
direct
0.0000 0.0000 0.5000
0.0000 0.5000 0.0000
0.0000 0.0000 0.0000
0.5000 0.5000 0.5000
0.5000 0.0000 0.0000
```

Summary:
* uncorrected energy: -4.2067 eV per atom
* SG: P4/mmm, No. 123
* formation energy from raw total energies: 3.05 eV per formula unit
* magnetization: 0.00 Bohr magnetons per cell



Entry 6:
Compound: BeCrIn2
Source: Alexandria via LeMat-Bulk
Functional: PBEsol
Structure: relaxed

The structure in POSCAR format:
```
BeCrIn2
1.0
3.2366 0.0000 0.0000
0.0000 4.2501 -0.2931
-1.6183 -1.8071 4.7706
Cr Be In
1 1 2
direct
0.2207 0.7209 0.4413
0.5359 0.5354 0.0718
0.9831 0.9832 0.9663
0.7603 0.2605 0.5206
```

Summary:
* uncorrected energy: -4.6348 eV per atom
* SG: Imm2, No. 44
* formation energy: 0.417 eV/atom
* magnetization: 1.35 Bohr magnetons per cell



Entry 7:
Compound: Ca2NF
Source: Alexandria via LeMat-Bulk
Functional: PBEsol
Structure: relaxed

The structure in POSCAR format:
```
Ca2NF
1.0
-2.1500 -1.6904 -2.1764
0.0927 -3.4889 -0.1883
-4.6078 -2.0535 3.3403
Ca F N
2 1 1
direct
0.7603 0.7603 0.7190
0.2397 0.2397 0.2810
0.0000 0.0000 0.0000
0.5000 0.5000 0.5000
```

Summary:
* uncorrected energy: -5.8111 eV per atom
* SG: R-3m, No. 166
* formation energy from raw total energies: -8.52 eV per formula unit
* magnetization: 0.00 Bohr magnetons per cell



Entry 8:
Compound: Na2HgGe2
Source: Alexandria via LeMat-Bulk
Functional: PBEsol
Structure: relaxed

The structure in POSCAR format:
```
Na2HgGe2
1.0
-1.9335 1.8712 -2.5226
-1.8973 -3.0566 -0.8131
-4.0696 2.6763 7.8009
Na Ge Hg
2 2 1
direct
0.3938 0.3938 0.7876
0.6062 0.6062 0.2124
0.2500 0.7500 0.5000
0.7500 0.2500 0.5000
0.0000 0.0000 0.0000
```

Summary:
* uncorrected energy: -2.6569 eV per atom
* SG: I4/mmm, No. 139
* formation energy: -0.008 eV/atom
* magnetization: 0.00 Bohr magnetons per cell



Entry 9:
Compound: Mg2InBi
Source: Alexandria via LeMat-Bulk
Functional: PBEsol
Structure: relaxed

The structure in POSCAR format:
```
Mg2InBi
1.0
-1.4559 0.3891 4.9783
1.9305 -3.2871 3.5387
3.3740 1.7098 3.5703
Mg Bi In
2 1 1
direct
0.2500 0.2500 0.2500
0.7500 0.7500 0.7500
0.5000 0.5000 0.5000
0.0000 0.0000 0.0000
```

Summary:
* uncorrected energy: -2.7756 eV per atom
* SG: Fm-3m, No. 225
* offset from the most stable computed form: 0 kJ/mol of formula units
* formation energy: -0.100 eV/atom
* magnetization: 0.00 Bohr magnetons per cell



Entry 10:
Compound: TaTi2InCu
Source: Alexandria via LeMat-Bulk
Functional: PBEsol
Structure: relaxed

The structure in POSCAR format:
```
TaTi2InCu
1.0
4.8577 0.0000 0.0000
0.0000 4.8577 0.0000
0.0000 0.0000 5.0130
In Ti Cu Ta
1 2 1 1
direct
0.0000 0.0000 0.0000
0.0000 0.5000 0.0000
0.5000 0.0000 0.0000
0.5000 0.5000 0.5000
0.0000 0.0000 0.5000
```

Summary:
* uncorrected energy: -5.4520 eV per atom
* SG: P4/mmm, No. 123
* formation energy: 1.850 eV/atom
* magnetization: 0.00 Bohr magnetons per cell



Entry 11:
Compound: LaTlCo2
Source: Alexandria via LeMat-Bulk
Functional: PBEsol
Structure: relaxed

The structure in POSCAR format:
```
LaTlCo2
1.0
-3.3030 -1.0252 -0.1851
0.4219 -0.5603 -4.4243
1.2819 -4.2493 0.6604
Tl Co La
1 2 1
direct
0.5000 0.0000 0.5000
0.0000 0.0000 0.0000
0.0000 0.5000 0.5000
0.5000 0.5000 0.0000
```

Summary:
* uncorrected energy: -5.6495 eV per atom
* SG: P4/mmm, No. 123
* offset from the most stable computed form: 15 kJ/mol of formula units
* formation energy: 0.213 eV/atom
* magnetization: 0.00 Bohr magnetons per cell



Entry 12:
Compound: RbLi3Zn
Source: Alexandria via LeMat-Bulk
Functional: PBEsol
Structure: relaxed

The structure in POSCAR format:
```
RbLi3Zn
1.0
-4.4777 -3.2765 -0.6943
3.2977 -4.5155 0.0416
-0.5851 -0.3761 5.5483
Zn Rb Li
1 1 3
direct
0.5000 0.5000 0.5000
0.0000 0.0000 0.0000
0.0000 0.5000 0.0000
0.0000 0.0000 0.5000
0.5000 0.0000 0.0000
```

Summary:
* uncorrected energy: -0.7839 eV per atom
* SG: Pm-3m, No. 221
* offset from the most stable computed form: 370 kJ/mol of formula units
* formation energy: 0.918 eV/atom
* magnetization: 0.00 Bohr magnetons per cell